A plane-wave DFT calculation with PBE with a Hubbard U was carried out for crystalline MnTlCdF6 at its relaxed geometry.

Geometry as POSCAR:
```
MnTlCdF6
1.0
5.7340 0.0000 0.0000
-2.8670 4.9658 0.0000
0.0000 0.0000 11.4328
Mn Tl Cd F
2 2 2 12
Direct
0.3333 0.6667 0.2500 Mn
0.6667 0.3333 0.7500 Mn
0.0000 0.0000 0.0000 Tl
0.0000 0.0000 0.5000 Tl
0.3333 0.6667 0.7500 Cd
0.6667 0.3333 0.2500 Cd
0.0449 0.4002 0.1551 F
0.0449 0.6447 0.3449 F
0.3553 0.4002 0.3449 F
0.3553 0.9551 0.1551 F
0.4002 0.0449 0.6551 F
0.4002 0.3553 0.8449 F
0.5998 0.6447 0.1551 F
0.5998 0.9551 0.3449 F
0.6447 0.0449 0.8449 F
0.6447 0.5998 0.6551 F
0.9551 0.3553 0.6551 F
0.9551 0.5998 0.8449 F
```

Computed properties:
Mass density in Mg/m³: 4.96
DFT total energy in hartree per atom: -0.167
Volume in Å³ per atom: 18.09
Space group: P-31c, No. 163